Pa2CuRu: relaxed, PBE-GGA.

Computed properties:
**Crystal system**: cubic
**Symmetry**: Fm-3m (225)
**Polymorph energy (0 for the lowest one)**: 0.008 eV/atom
**Formation energy**: -0.104 eV per atom
**Spin magnetization**: 0.04 μB per atom

```
Pa2CuRu
1.0
-0.3033 -0.9330 4.7381
0.9269 -4.4519 1.6533
4.0174 -0.8415 2.5621
Ru Pa Cu
1 2 1
Cartesian
0.0000 0.0000 0.0000 Ru
1.1602 -1.5566 2.2384 Pa
3.4807 -4.6697 6.7151 Pa
2.3205 -3.1132 4.4767 Cu
```